1.
The following is a DFT calculation (PBE) of crystalline Dy3Y2Ho6Pu at its relaxed geometry.

The value obtained for the energy relative to the elements is 0.046 eV per atom.

The structure belongs to space group C2/m (No. 12); the cell edges are 6.108, 10.580 and 11.658 Å and the angles 90.00°, 100.08° and 90.00°. Symmetry generates all atoms from Dy at (0.000, 0.000, 0.000), Dy at (0.000, 0.333, 0.000), Y at (0.000, 0.167, 0.500), Ho at (0.246, 0.500, 0.251), Ho at (0.248, 0.335, 0.749) and Pu at (0.000, 0.500, 0.500).

=====

2.
The following is a DFT calculation (PBE) of crystalline Dy2Y6Ho3Pu at its relaxed geometry.

The value obtained for the energy relative to the elements is 0.050 eV per atom.

The structure belongs to space group C2/m (No. 12); the cell edges are 6.137, 10.631 and 11.710 Å and the angles 90.00°, 100.08° and 90.00°. Symmetry generates all atoms from Dy at (0.000, 0.167, 0.000), Y at (0.247, 0.500, 0.751), Y at (0.248, 0.335, 0.249), Ho at (0.000, 0.000, 0.500), Ho at (0.000, 0.333, 0.500) and Pu at (0.000, 0.500, 0.000).

=====

3.
The following is a DFT calculation (PBE) of crystalline Dy6Y2Ho3Pu at its relaxed geometry.

The value obtained for the energy relative to the elements is 0.047 eV per atom.

The structure belongs to space group C2/m (No. 12); the cell edges are 6.118, 10.595 and 11.673 Å and the angles 90.00°, 100.10° and 90.00°. Symmetry generates all atoms from Dy at (0.246, 0.000, 0.250), Dy at (0.248, 0.165, 0.749), Y at (0.000, 0.333, 0.500), Ho at (0.000, 0.167, 0.000), Ho at (0.000, 0.500, 0.000) and Pu at (0.000, 0.000, 0.500).

=====

4.
The following is a DFT calculation (PBE) of crystalline RbDy2Ho at its relaxed geometry.

The value obtained for the energy relative to the elements is 0.299 eV per atom.

The structure belongs to space group R-3m (No. 166, hexagonal axes); the cell edges are 3.6040, 3.6040 and 39.6092 Å and the angles 90.00°, 90.00° and 120.00°. Symmetry generates all atoms from Rb at (0.0000, 0.0000, 0.0000), Dy at (0.0000, 0.0000, 0.0962) and Ho at (0.0000, 0.0000, 0.5000).

=====

5.
The following is a DFT calculation (PBE) of crystalline RbDy4HoS8 at its relaxed geometry.

As for the formation energy from raw total energies: -1.90 eV/atom.

The structure belongs to space group R3m (No. 160, hexagonal axes); the cell edges are 8.2720, 8.2720 and 20.2092 Å and the angles 90.00°, 90.00° and 120.00°. Symmetry generates all atoms from Rb at (0.0000, 0.0000, 0.0000), Dy at (0.0000, 0.0000, 0.2494), Dy at (0.1728, 0.3457, 0.4563), Ho at (0.0000, 0.0000, 0.6291), S at (0.0000, 0.0000, 0.3817), S at (0.0000, 0.0000, 0.8557), S at (0.0513, 0.5257, 0.3804) and S at (0.1765, 0.3529, 0.2057).

=====

6.
The following is a DFT calculation (PBE) of crystalline Rb2DyHoS4 at its relaxed geometry.

As for the formation energy from raw total energies: -1.86 eV/atom.

The structure belongs to space group P2/m (No. 10); the cell edges are 7.051, 4.071 and 8.036 Å and the angles 90.00°, 106.99° and 90.00°. Symmetry generates all atoms from Rb at (0.000, 0.000, 0.000), Rb at (0.500, 0.500, 0.000), Dy at (0.000, 0.500, 0.500), Ho at (0.500, 0.000, 0.500), S at (0.231, 0.000, 0.692) and S at (0.271, 0.500, 0.309).

=====

7.
The following is a DFT calculation (PBE) of crystalline Rb4Dy3HoSe8 at its relaxed geometry.

As for the formation energy from raw total energies: -1.74 eV/atom.

The structure belongs to space group R-3m (No. 166, hexagonal axes); the cell edges are 8.4754, 8.4754 and 23.9777 Å and the angles 90.00°, 90.00° and 120.00°. Symmetry generates all atoms from Rb at (0.0000, 0.0000, 0.0000), Rb at (0.0000, 0.5000, 0.0000), Dy at (0.0000, 0.5000, 0.5000), Ho at (0.0000, 0.0000, 0.5000), Se at (0.0000, 0.0000, 0.2318) and Se at (0.0010, 0.5005, 0.2317).

=====

8.
The following is a DFT calculation (PBE) of crystalline Rb3Dy3HoSe8 at its relaxed geometry.

As for the formation energy from raw total energies: -1.67 eV/atom.

The structure belongs to space group C2/m (No. 12); the cell edges are 14.437, 8.331 and 9.505 Å and the angles 90.00°, 120.47° and 90.00°. Symmetry generates all atoms from Rb at (0.000, 0.000, 0.000), Rb at (0.250, 0.250, 0.000), Dy at (0.000, 0.500, 0.500), Dy at (0.250, 0.250, 0.500), Ho at (0.000, 0.000, 0.500), Se at (0.019, 0.250, 0.307), Se at (0.231, 0.000, 0.693) and Se at (0.232, 0.500, 0.696).

=====

9.
The following is a DFT calculation (PBE) of crystalline Rb3Dy2HoSe6 at its relaxed geometry.

As for the formation energy from raw total energies: -1.74 eV/atom.

The structure belongs to space group C2/m (No. 12); the cell edges are 7.336, 12.707 and 8.359 Å and the angles 90.00°, 107.01° and 90.00°. Symmetry generates all atoms from Rb at (0.000, 0.000, 0.000), Rb at (0.000, 0.333, 0.000), Dy at (0.000, 0.167, 0.500), Ho at (0.000, 0.500, 0.500), Se at (0.231, 0.334, 0.695) and Se at (0.233, 0.000, 0.695).

=====

10.
The following is a DFT calculation (PBE) of crystalline RbDyHo4Se8 at its relaxed geometry.

As for the formation energy from raw total energies: -1.71 eV/atom.

The structure belongs to space group R3m (No. 160, hexagonal axes); the cell edges are 8.6020, 8.6020 and 21.1582 Å and the angles 90.00°, 90.00° and 120.00°. Symmetry generates all atoms from Rb at (0.0000, 0.0000, 0.0000), Dy at (0.0000, 0.0000, 0.6312), Ho at (0.0000, 0.0000, 0.2512), Ho at (0.1729, 0.3459, 0.4578), Se at (0.0000, 0.0000, 0.3834), Se at (0.0000, 0.0000, 0.8577), Se at (0.0468, 0.5234, 0.3826) and Se at (0.1762, 0.3524, 0.2069).

=====

11.
The following is a DFT calculation (PBE) of crystalline Rb3DyHo3Se8 at its relaxed geometry.

As for the formation energy from raw total energies: -1.67 eV/atom.

The structure belongs to space group C2/m (No. 12); the cell edges are 14.397, 8.306 and 9.492 Å and the angles 90.00°, 120.43° and 90.00°. Symmetry generates all atoms from Rb at (0.000, 0.000, 0.000), Rb at (0.250, 0.250, 0.000), Dy at (0.000, 0.000, 0.500), Ho at (0.000, 0.500, 0.500), Ho at (0.250, 0.250, 0.500), Se at (0.019, 0.251, 0.307), Se at (0.232, 0.000, 0.693) and Se at (0.232, 0.500, 0.695).

=====

12.
The following is a DFT calculation (PBE) of crystalline Rb4DyHo3Se8 at its relaxed geometry.

As for the formation energy from raw total energies: -1.74 eV/atom.

The structure belongs to space group R-3m (No. 166, hexagonal axes); the cell edges are 8.4583, 8.4583 and 23.9735 Å and the angles 90.00°, 90.00° and 120.00°. Symmetry generates all atoms from Rb at (0.0000, 0.0000, 0.0000), Rb at (0.0000, 0.5000, 0.0000), Dy at (0.0000, 0.0000, 0.5000), Ho at (0.0000, 0.5000, 0.5000), Se at (0.0000, 0.0000, 0.2315) and Se at (0.0009, 0.5004, 0.7683).

=====

13.
The following is a DFT calculation (PBE) of crystalline Rb3Dy2HoTe6 at its relaxed geometry.

As for the formation energy from raw total energies: -1.38 eV/atom.

The structure belongs to space group C2/m (No. 12); the cell edges are 7.830, 13.562 and 8.941 Å and the angles 90.00°, 106.97° and 90.00°. Symmetry generates all atoms from Rb at (0.000, 0.000, 0.000), Rb at (0.000, 0.333, 0.000), Dy at (0.000, 0.167, 0.500), Ho at (0.000, 0.500, 0.500), Te at (0.232, 0.334, 0.699) and Te at (0.234, 0.000, 0.699).

=====

14.
The following is a DFT calculation (PBE) of crystalline Rb3Dy3HoTe8 at its relaxed geometry.

As for the formation energy from raw total energies: -1.32 eV/atom.

The structure belongs to space group C2/m (No. 12); the cell edges are 15.256, 8.813 and 10.201 Å and the angles 90.00°, 119.88° and 90.00°. Symmetry generates all atoms from Rb at (0.000, 0.000, 0.000), Rb at (0.250, 0.250, 0.000), Dy at (0.000, 0.500, 0.500), Dy at (0.250, 0.250, 0.500), Ho at (0.000, 0.000, 0.500), Te at (0.017, 0.251, 0.301), Te at (0.233, 0.000, 0.699) and Te at (0.233, 0.500, 0.700).

=====

15.
The following is a DFT calculation (PBE) of crystalline DyHo2Re at its relaxed geometry.

The value obtained for the energy relative to the elements is 0.777 eV per atom.

The structure belongs to space group R-3m (No. 166, hexagonal axes); the cell edges are 3.2109, 3.2109 and 33.8667 Å and the angles 90.00°, 90.00° and 120.00°. Symmetry generates all atoms from Dy at (0.0000, 0.0000, 0.0000), Ho at (0.0000, 0.0000, 0.4208) and Re at (0.0000, 0.0000, 0.5000).

=====

16.
The following is a DFT calculation (PBE) of crystalline DyHoRe4 at its relaxed geometry.

The value obtained for the energy relative to the elements is -0.189 eV per atom.

The structure belongs to space group F-43m (No. 216); the cell edges are 7.657, 7.657 and 7.657 Å and the angles 90.00°, 90.00° and 90.00°. Symmetry generates all atoms from Dy at (0.000, 0.000, 0.000), Ho at (0.250, 0.250, 0.750) and Re at (0.125, 0.125, 0.375).

=====

17.
The following is a DFT calculation (PBE) of crystalline DyHoZnRe at its relaxed geometry.

The value obtained for the energy relative to the elements is -0.038 eV per atom.

The structure belongs to space group F-43m (No. 216); the cell edges are 6.946, 6.946 and 6.946 Å and the angles 90.00°, 90.00° and 90.00°. Symmetry generates all atoms from Dy at (0.000, 0.000, 0.000), Ho at (0.000, 0.000, 0.500), Zn at (0.250, 0.250, 0.750) and Re at (0.250, 0.250, 0.250).

=====

18.
The following is a DFT calculation (PBE) of crystalline Dy2Ho2Rh3 at its relaxed geometry.

The value obtained for the energy relative to the elements is -0.801 eV per atom. The calculation puts the distance to the lowest polymorph of the same formula at 0.000 eV per atom.

The structure belongs to space group C2/m (No. 12); the cell edges are 8.303, 4.787 and 8.392 Å and the angles 90.00°, 109.35° and 90.00°. Symmetry generates all atoms from Dy at (0.125, 0.000, 0.375), Ho at (0.124, 0.500, 0.873), Rh at (0.000, 0.000, 0.000) and Rh at (0.249, 0.500, 0.247).

=====

19.
The following is a DFT calculation (PBE) of crystalline DyHo3Rh8 at its relaxed geometry.

The value obtained for the energy relative to the elements is -0.729 eV per atom.

The structure belongs to space group P3m1 (No. 156); the cell edges are 5.3260, 5.3260 and 8.7094 Å and the angles 90.00°, 90.00° and 120.00°. Symmetry generates all atoms from Dy at (0.0000, 0.0000, 0.0000), Ho at (0.0000, 0.0000, 0.3670), Ho at (0.6667, 0.3333, 0.4998), Ho at (0.6667, 0.3333, 0.8665), Rh at (0.1643, 0.3286, 0.6831), Rh at (0.3333, 0.6667, 0.4333), Rh at (0.3333, 0.6667, 0.9332) and Rh at (0.5024, 0.0047, 0.1836).

=====

20.
The following is a DFT calculation (PBE) of crystalline DyHo2Rh3 at its relaxed geometry.

The value obtained for the energy relative to the elements is -0.898 eV per atom. The calculation puts the distance to the lowest polymorph of the same formula at 0.000 eV per atom.

The structure belongs to space group P-3m1 (No. 164); the cell edges are 4.8327, 4.8327 and 11.8039 Å and the angles 90.00°, 90.00° and 120.00°. Symmetry generates all atoms from Dy at (0.3333, 0.6667, 0.1670), Ho at (0.0000, 0.0000, 0.0000), Ho at (0.0000, 0.0000, 0.5000), Ho at (0.3333, 0.6667, 0.6662), Rh at (0.0000, 0.0000, 0.2506), Rh at (0.3333, 0.6667, 0.4171) and Rh at (0.3333, 0.6667, 0.9166).

=====

| no. | E_tot (eV per atom) | M_tot (μB per formula unit) |
| --- | --- | --- |
| 1 | -5.66 | 6.50 |
| 2 | -6.29 | 6.48 |
| 3 | -5.67 | 6.55 |
| 4 | -3.39 | 0.00 |
| 5 | -5.97 | 0.00 |
| 6 | -5.31 | 0.00 |
| 7 | -4.87 | 0.00 |
| 8 | -4.95 | 0.00 |
| 9 | -4.87 | 0.00 |
| 10 | -5.41 | 0.00 |
| 11 | -4.94 | 0.00 |
| 12 | -4.87 | 0.00 |
| 13 | -4.34 | 0.00 |
| 14 | -4.41 | 0.00 |
| 15 | -5.77 | 0.25 |
| 16 | -10.02 | 0.00 |
| 17 | -5.76 | 0.00 |
| 18 | -6.57 | 0.00 |
| 19 | -7.16 | 0.00 |
| 20 | -6.87 | 0.00 |